# Tb7GaI12 PBE relaxed
# - raw total energy (eV per atom) = -3.91
data_Tb7GaI12
_chemical_formula_sum 'Tb21 Ga3 I36'
_symmetry_space_group_name_H-M 'R -3'
_symmetry_Int_Tables_number 148
_symmetry_space_group_name_Hall '-R 3'
_cell_length_a 15.7577
_cell_length_b 15.7577
_cell_length_c 10.4808
_cell_angle_alpha 90.00
_cell_angle_beta 90.00
_cell_angle_gamma 120.00
loop_
_atom_site_label
_atom_site_fract_x
_atom_site_fract_y
_atom_site_fract_z
Tb1 0.0000 0.0000 0.0000
Tb2 0.0464 0.1634 0.3482
Ga1 0.0000 0.0000 0.5000
I1 0.0217 0.5867 0.1645
I2 0.0517 0.1834 0.8384

=====

# Ca2MnZnCl PBE relaxed
# - raw total energy (eV per atom) = -3.28
data_Ca2MnZnCl
_chemical_formula_sum 'Ca2 Mn1 Zn1 Cl1'
_symmetry_space_group_name_H-M 'P 4/m m m'
_symmetry_Int_Tables_number 123
_symmetry_space_group_name_Hall '-P 4 2'
_cell_length_a 5.606
_cell_length_b 5.606
_cell_length_c 4.634
_cell_angle_alpha 90.00
_cell_angle_beta 90.00
_cell_angle_gamma 90.00
loop_
_atom_site_label
_atom_site_fract_x
_atom_site_fract_y
_atom_site_fract_z
Ca1 0.000 0.500 0.000
Mn1 0.000 0.000 0.000
Zn1 0.000 0.000 0.500
Cl1 0.500 0.500 0.500

=====

# Ir2PdF PBE relaxed
# - energy above the most stable polymorph in this dataset (meV per atom) = 33
# - raw total energy (eV per atom) = -5.58
data_Ir2PdF
_chemical_formula_sum 'Ir8 Pd4 F4'
_symmetry_space_group_name_H-M 'I -4 2 d'
_symmetry_Int_Tables_number 122
_symmetry_space_group_name_Hall 'I -4 2bw'
_cell_length_a 6.891
_cell_length_b 6.891
_cell_length_c 4.905
_cell_angle_alpha 90.00
_cell_angle_beta 90.00
_cell_angle_gamma 90.00
loop_
_atom_site_label
_atom_site_fract_x
_atom_site_fract_y
_atom_site_fract_z
Ir1 0.206 0.750 0.125
Pd1 0.000 0.000 0.500
F1 0.000 0.000 0.000

=====

# Tm5Co2Ag2 PBE relaxed
# - formation energy (meV/atom) = -264
# - raw total energy (eV per atom) = -4.96
data_Tm5Co2Ag2
_chemical_formula_sum 'Tm20 Co8 Ag8'
_symmetry_space_group_name_H-M 'C m c e'
_symmetry_Int_Tables_number 64
_symmetry_space_group_name_Hall '-C 2ac 2'
_cell_length_a 15.855
_cell_length_b 7.074
_cell_length_c 7.163
_cell_angle_alpha 90.00
_cell_angle_beta 90.00
_cell_angle_gamma 90.00
loop_
_atom_site_label
_atom_site_fract_x
_atom_site_fract_y
_atom_site_fract_z
Tm1 0.000 0.000 0.000
Tm2 0.124 0.181 0.318
Co1 0.000 0.111 0.614
Ag1 0.220 0.000 0.000

=====

# Rb2IrCl7 PBE relaxed
# - energy above the most stable polymorph in this dataset (meV per atom) = 0
# - raw total energy (eV per atom) = -3.31
data_Rb2IrCl7
_chemical_formula_sum 'Rb4 Ir2 Cl14'
_symmetry_space_group_name_H-M 'I 4/m m m'
_symmetry_Int_Tables_number 139
_symmetry_space_group_name_Hall '-I 4 2'
_cell_length_a 7.877
_cell_length_b 7.877
_cell_length_c 9.993
_cell_angle_alpha 90.00
_cell_angle_beta 90.00
_cell_angle_gamma 90.00
loop_
_atom_site_label
_atom_site_fract_x
_atom_site_fract_y
_atom_site_fract_z
Rb1 0.000 0.500 0.250
Ir1 0.000 0.000 0.000
Cl1 0.000 0.000 0.238
Cl2 0.000 0.000 0.500
Cl3 0.210 0.210 0.000

=====

# PmZn2Ag4 PBE relaxed
# - energy above the most stable polymorph in this dataset (meV per atom) = 12
# - formation energy (meV/atom) = -176
# - raw total energy (eV per atom) = -2.85
data_PmZn2Ag4
_chemical_formula_sum 'Pm2 Zn4 Ag8'
_symmetry_space_group_name_H-M 'P 42/m n m'
_symmetry_Int_Tables_number 136
_symmetry_space_group_name_Hall '-P 4n 2n'
_cell_length_a 8.071
_cell_length_b 8.071
_cell_length_c 4.203
_cell_angle_alpha 90.00
_cell_angle_beta 90.00
_cell_angle_gamma 90.00
loop_
_atom_site_label
_atom_site_fract_x
_atom_site_fract_y
_atom_site_fract_z
Pm1 0.000 0.000 0.000
Zn1 0.211 0.211 0.500
Ag1 0.089 0.661 0.500

=====

# SnGeI2 PBE relaxed
# - energy above the most stable polymorph in this dataset (meV per atom) = 108
# - raw total energy (eV per atom) = -2.70
data_SnGeI2
_chemical_formula_sum 'Sn4 Ge4 I8'
_symmetry_space_group_name_H-M 'F m -3 m'
_symmetry_Int_Tables_number 225
_symmetry_space_group_name_Hall '-F 4 2 3'
_cell_length_a 7.803
_cell_length_b 7.803
_cell_length_c 7.803
_cell_angle_alpha 90.00
_cell_angle_beta 90.00
_cell_angle_gamma 90.00
loop_
_atom_site_label
_atom_site_fract_x
_atom_site_fract_y
_atom_site_fract_z
Sn1 0.000 0.000 0.000
Ge1 0.000 0.000 0.500
I1 0.250 0.250 0.250

=====

# ErTeCl PBE relaxed
# - raw total energy (eV per atom) = -4.86
data_ErTeCl
_chemical_formula_sum 'Er1 Te1 Cl1'
_symmetry_space_group_name_H-M 'P 3 m 1'
_symmetry_Int_Tables_number 156
_symmetry_space_group_name_Hall 'P 3 -2"'
_cell_length_a 4.1883
_cell_length_b 4.1883
_cell_length_c 6.9745
_cell_angle_alpha 90.00
_cell_angle_beta 90.00
_cell_angle_gamma 120.00
loop_
_atom_site_label
_atom_site_fract_x
_atom_site_fract_y
_atom_site_fract_z
Er1 0.0000 0.0000 0.0000
Te1 0.3333 0.6667 0.7561
Cl1 0.6667 0.3333 0.2123

=====

# TiZnNi2Br PBE relaxed
# - raw total energy (eV per atom) = -3.76
data_TiZnNi2Br
_chemical_formula_sum 'Ti1 Zn1 Ni2 Br1'
_symmetry_space_group_name_H-M 'P 4/m m m'
_symmetry_Int_Tables_number 123
_symmetry_space_group_name_Hall '-P 4 2'
_cell_length_a 4.586
_cell_length_b 4.586
_cell_length_c 4.832
_cell_angle_alpha 90.00
_cell_angle_beta 90.00
_cell_angle_gamma 90.00
loop_
_atom_site_label
_atom_site_fract_x
_atom_site_fract_y
_atom_site_fract_z
Ti1 0.000 0.000 0.000
Zn1 0.500 0.500 0.500
Ni1 0.000 0.500 0.000
Br1 0.000 0.000 0.500

=====

# Na2ZrTa PBE relaxed
# - energy above the most stable polymorph in this dataset (meV per atom) = 32
# - formation energy (meV/atom) = 1307
# - raw total energy (eV per atom) = -4.45
data_Na2ZrTa
_chemical_formula_sum 'Na8 Zr4 Ta4'
_symmetry_space_group_name_H-M 'F m -3 m'
_symmetry_Int_Tables_number 225
_symmetry_space_group_name_Hall '-F 4 2 3'
_cell_length_a 7.050
_cell_length_b 7.050
_cell_length_c 7.050
_cell_angle_alpha 90.00
_cell_angle_beta 90.00
_cell_angle_gamma 90.00
loop_
_atom_site_label
_atom_site_fract_x
_atom_site_fract_y
_atom_site_fract_z
Na1 0.250 0.250 0.250
Zr1 0.000 0.000 0.000
Ta1 0.000 0.000 0.500

=====

# TaMo3 PBE relaxed
# - formation energy (meV/atom) = -39
# - raw total energy (eV per atom) = -11.13
data_TaMo3
_chemical_formula_sum 'Ta4 Mo12'
_symmetry_space_group_name_H-M 'C m m e'
_symmetry_Int_Tables_number 67
_symmetry_space_group_name_Hall '-C 2a 2'
_cell_length_a 3.193
_cell_length_b 4.565
_cell_length_c 17.988
_cell_angle_alpha 90.00
_cell_angle_beta 90.00
_cell_angle_gamma 90.00
loop_
_atom_site_label
_atom_site_fract_x
_atom_site_fract_y
_atom_site_fract_z
Ta1 0.000 0.250 0.068
Mo1 0.000 0.250 0.316
Mo2 0.000 0.250 0.562
Mo3 0.000 0.250 0.806

=====

# NaSm2Br8 PBE relaxed
# - raw total energy (eV per atom) = -3.60
data_NaSm2Br8
_chemical_formula_sum 'Na1 Sm2 Br8'
_symmetry_space_group_name_H-M 'P -3 m 1'
_symmetry_Int_Tables_number 164
_symmetry_space_group_name_Hall '-P 3 2"'
_cell_length_a 8.6886
_cell_length_b 8.6886
_cell_length_c 8.2924
_cell_angle_alpha 90.00
_cell_angle_beta 90.00
_cell_angle_gamma 120.00
loop_
_atom_site_label
_atom_site_fract_x
_atom_site_fract_y
_atom_site_fract_z
Na1 0.0000 0.0000 0.0000
Sm1 0.3333 0.6667 0.6908
Br1 0.1608 0.3215 0.7895
Br2 0.3333 0.6667 0.3629

=====

# Sr2BeP PBE relaxed
# - energy above the most stable polymorph in this dataset (meV per atom) = 348
# - formation energy (meV/atom) = -95
# - raw total energy (eV per atom) = -3.22
data_Sr2BeP
_chemical_formula_sum 'Sr6 Be3 P3'
_symmetry_space_group_name_H-M 'R -3 m'
_symmetry_Int_Tables_number 166
_symmetry_space_group_name_Hall '-R 3 2"'
_cell_length_a 4.5026
_cell_length_b 4.5026
_cell_length_c 21.9234
_cell_angle_alpha 90.00
_cell_angle_beta 90.00
_cell_angle_gamma 120.00
loop_
_atom_site_label
_atom_site_fract_x
_atom_site_fract_y
_atom_site_fract_z
Sr1 0.0000 0.0000 0.2376
Be1 0.0000 0.0000 0.0000
P1 0.0000 0.0000 0.5000

=====

# ZrBiSe3 PBE relaxed
# - energy above the most stable polymorph in this dataset (meV per atom) = 0
# - raw total energy (eV per atom) = -4.98
data_ZrBiSe3
_chemical_formula_sum 'Zr1 Bi1 Se3'
_symmetry_space_group_name_H-M 'P m -3 m'
_symmetry_Int_Tables_number 221
_symmetry_space_group_name_Hall '-P 4 2 3'
_cell_length_a 5.219
_cell_length_b 5.219
_cell_length_c 5.219
_cell_angle_alpha 90.00
_cell_angle_beta 90.00
_cell_angle_gamma 90.00
loop_
_atom_site_label
_atom_site_fract_x
_atom_site_fract_y
_atom_site_fract_z
Zr1 0.000 0.000 0.000
Bi1 0.500 0.500 0.500
Se1 0.000 0.000 0.500

=====

# Na3PuIn3O8 PBE relaxed
# - raw total energy (eV per atom) = -6.23
data_Na3PuIn3O8
_chemical_formula_sum 'Na9 Pu3 In9 O24'
_symmetry_space_group_name_H-M 'R -3 m'
_symmetry_Int_Tables_number 166
_symmetry_space_group_name_Hall '-R 3 2"'
_cell_length_a 6.6319
_cell_length_b 6.6319
_cell_length_c 17.0129
_cell_angle_alpha 90.00
_cell_angle_beta 90.00
_cell_angle_gamma 120.00
loop_
_atom_site_label
_atom_site_fract_x
_atom_site_fract_y
_atom_site_fract_z
Na1 0.0000 0.5000 0.0000
Pu1 0.0000 0.0000 0.5000
In1 0.0000 0.5000 0.5000
O1 0.0000 0.0000 0.2349
O2 0.0049 0.5025 0.2358

=====

# Tb2ErScTl2 PBE relaxed
# - formation energy (meV/atom) = -258
# - raw total energy (eV per atom) = -4.41
data_Tb2ErScTl2
_chemical_formula_sum 'Tb4 Er2 Sc2 Tl4'
_symmetry_space_group_name_H-M 'P m c 21'
_symmetry_Int_Tables_number 26
_symmetry_space_group_name_Hall 'P 2c -2'
_cell_length_a 4.957
_cell_length_b 9.792
_cell_length_c 6.833
_cell_angle_alpha 90.00
_cell_angle_beta 90.00
_cell_angle_gamma 90.00
loop_
_atom_site_label
_atom_site_fract_x
_atom_site_fract_y
_atom_site_fract_z
Tb1 0.000 0.046 0.000
Tb2 0.500 0.190 0.284
Er1 0.500 0.455 0.901
Sc1 0.000 0.308 0.614
Tl1 0.000 0.381 0.170
Tl2 0.500 0.141 0.742

=====

# Al3Se PBE relaxed
# - raw total energy (eV per atom) = -3.76
data_Al3Se
_chemical_formula_sum 'Al9 Se3'
_symmetry_space_group_name_H-M 'R -3 m'
_symmetry_Int_Tables_number 166
_symmetry_space_group_name_Hall '-R 3 2"'
_cell_length_a 3.5627
_cell_length_b 3.5627
_cell_length_c 21.3166
_cell_angle_alpha 90.00
_cell_angle_beta 90.00
_cell_angle_gamma 120.00
loop_
_atom_site_label
_atom_site_fract_x
_atom_site_fract_y
_atom_site_fract_z
Al1 0.0000 0.0000 0.0000
Al2 0.0000 0.0000 0.2478
Se1 0.0000 0.0000 0.5000

=====

# PtAu PBE relaxed
# - formation energy (meV/atom) = 50
# - raw total energy (eV per atom) = -4.61
data_PtAu
_chemical_formula_sum 'Pt2 Au2'
_symmetry_space_group_name_H-M 'C m m m'
_symmetry_Int_Tables_number 65
_symmetry_space_group_name_Hall '-C 2 2'
_cell_length_a 2.824
_cell_length_b 4.862
_cell_length_c 4.942
_cell_angle_alpha 90.00
_cell_angle_beta 90.00
_cell_angle_gamma 90.00
loop_
_atom_site_label
_atom_site_fract_x
_atom_site_fract_y
_atom_site_fract_z
Pt1 0.000 0.000 0.000
Au1 0.000 0.500 0.500

=====

# CaCuC PBE relaxed
# - energy above the most stable polymorph in this dataset (meV per atom) = 70
# - formation energy (meV/atom) = 82
# - raw total energy (eV per atom) = -5.03
data_CaCuC
_chemical_formula_sum 'Ca4 Cu4 C4'
_symmetry_space_group_name_H-M 'C 1 m 1'
_symmetry_Int_Tables_number 8
_symmetry_space_group_name_Hall 'C -2y'
_cell_length_a 9.282
_cell_length_b 4.547
_cell_length_c 4.890
_cell_angle_alpha 90.00
_cell_angle_beta 90.80
_cell_angle_gamma 90.00
loop_
_atom_site_label
_atom_site_fract_x
_atom_site_fract_y
_atom_site_fract_z
Ca1 0.000 0.000 0.000
Ca2 0.142 0.500 0.503
Cu1 0.346 0.000 0.244
Cu2 0.348 0.000 0.746
C1 0.410 0.354 0.497

=====

# BaMn2Au PBE relaxed
# - formation energy (meV/atom) = 430
# - raw total energy (eV per atom) = -5.46
data_BaMn2Au
_chemical_formula_sum 'Ba2 Mn4 Au2'
_symmetry_space_group_name_H-M 'I m m m'
_symmetry_Int_Tables_number 71
_symmetry_space_group_name_Hall '-I 2 2'
_cell_length_a 3.419
_cell_length_b 5.491
_cell_length_c 10.607
_cell_angle_alpha 90.00
_cell_angle_beta 90.00
_cell_angle_gamma 90.00
loop_
_atom_site_label
_atom_site_fract_x
_atom_site_fract_y
_atom_site_fract_z
Ba1 0.000 0.000 0.000
Mn1 0.000 0.500 0.206
Au1 0.000 0.000 0.500